Density functional theory data (PBE) for an optimized crystal structure of KSnBr6.

As for the density of states at the Fermi level: 0.66 states/eV/cell. The symmetry is P-1, No. 2. As for the uncorrected formation energy: -0.752 eV per atom. Its density is 3.672 g cm⁻³.

Cell lengths 6.5122, 6.7109, 7.5363 Å; angles 101.99, 112.42, 98.59 degrees
Atoms (fractional coordinates):
K 0.0000 0.0000 0.0000
Sn 0.0000 0.5000 0.5000
Br 0.2029 0.1716 0.5387
Br 0.2176 0.5934 0.2869
Br 0.3414 0.7434 0.8346
Br 0.6586 0.2566 0.1655
Br 0.7824 0.4066 0.7131
Br 0.7971 0.8284 0.4613